{
  "formula": "Ti2AgHRh",
  "functional": "PBE",
  "state": "optimized geometry",
  "lattice_angstrom": [[4.0777, 0.0000, 0.0000], [0.0000, 4.0777, 0.0000], [0.0000, 0.0000, 3.9422]],
  "species": ["Ag", "Ti", "Rh", "H", "Ti"],
  "fractional_positions": [[0.5000, 0.5000, 0.5000], [0.5000, 0.0000, 0.0000], [0.0000, 0.0000, 0.5000], [0.0000, 0.0000, 0.0000], [0.0000, 0.5000, 0.0000]],
  "spacegroup": "P4/mmm, No. 123",
  "de_polymorph_mev_per_atom": 0,
  "total_energy_ev_per_cell": -30.7
}